A | # GdPaAg2

A relaxed structure of GdPaAg2 (GGA-PBE, Alexandria).

```
data_GdPaAg2
_chemical_formula_sum 'Gd1 Pa1 Ag2'
_space_group_name_H-M_alt 'P 1'
_space_group_IT_number 1
_cell_length_a 3.2254
_cell_length_b 3.2254
_cell_length_c 8.9142
_cell_angle_alpha 90.00
_cell_angle_beta 90.00
_cell_angle_gamma 90.00
loop_
_space_group_symop_operation_xyz
'x,y,z'
loop_
_atom_site_label
_atom_site_type_symbol
_atom_site_fract_x
_atom_site_fract_y
_atom_site_fract_z
_atom_site_occupancy
Gd1 Gd 0.5000 0.5000 0.5000 1
Ag1 Ag 0.0000 0.0000 0.7501 1
Ag2 Ag 0.0000 0.0000 0.2499 1
Pa1 Pa 0.5000 0.5000 0.0000 1
```

Results
Total magnetization: 8.07 Bohr magnetons per cell


B | # GdPaAg2

A relaxed structure of GdPaAg2 (GGA-PBE, Alexandria).

```
data_GdPaAg2
_chemical_formula_sum 'Gd1 Pa1 Ag2'
_space_group_name_H-M_alt 'P 1'
_space_group_IT_number 1
_cell_length_a 3.1149
_cell_length_b 3.1149
_cell_length_c 11.6105
_cell_angle_alpha 82.29
_cell_angle_beta 82.29
_cell_angle_gamma 60.00
loop_
_space_group_symop_operation_xyz
'x,y,z'
loop_
_atom_site_label
_atom_site_type_symbol
_atom_site_fract_x
_atom_site_fract_y
_atom_site_fract_z
_atom_site_occupancy
Ag1 Ag 0.9098 0.9098 0.2705 1
Gd1 Gd 0.5000 0.5000 0.5000 1
Ag2 Ag 0.0902 0.0902 0.7295 1
Pa1 Pa 0.0000 0.0000 0.0000 1
```

Results
Total magnetization: 6.67 Bohr magnetons per cell


Quick one: least stable of them? B


A | # GdAgPd

A relaxed structure of GdAgPd (GGA-PBE, Alexandria).

```
data_GdAgPd
_chemical_formula_sum 'Gd1 Ag1 Pd1'
_space_group_name_H-M_alt 'P 1'
_space_group_IT_number 1
_cell_length_a 4.6769
_cell_length_b 4.6769
_cell_length_c 4.6769
_cell_angle_alpha 60.00
_cell_angle_beta 60.00
_cell_angle_gamma 60.00
loop_
_space_group_symop_operation_xyz
'x,y,z'
loop_
_atom_site_label
_atom_site_type_symbol
_atom_site_fract_x
_atom_site_fract_y
_atom_site_fract_z
_atom_site_occupancy
Gd1 Gd 0.5000 0.5000 0.5000 1
Ag1 Ag 0.0000 0.0000 0.0000 1
Pd1 Pd 0.2500 0.2500 0.2500 1
```

Results
Total magnetization: 7.10 Bohr magnetons per cell


B | # GdAgPd

A relaxed structure of GdAgPd (GGA-PBE, Alexandria).

```
data_GdAgPd
_chemical_formula_sum 'Gd1 Ag1 Pd1'
_space_group_name_H-M_alt 'P 1'
_space_group_IT_number 1
_cell_length_a 3.4329
_cell_length_b 4.6684
_cell_length_c 4.6684
_cell_angle_alpha 120.00
_cell_angle_beta 90.00
_cell_angle_gamma 90.00
loop_
_space_group_symop_operation_xyz
'x,y,z'
loop_
_atom_site_label
_atom_site_type_symbol
_atom_site_fract_x
_atom_site_fract_y
_atom_site_fract_z
_atom_site_occupancy
Pd1 Pd 0.1677 0.3333 0.6667 1
Ag1 Ag 0.1658 0.0000 0.0000 1
Gd1 Gd 0.6665 0.6667 0.3333 1
```

Results
Total magnetization: 7.13 Bohr magnetons per cell


Quick one: least stable of them? A


A | # Pr2GdAg

A relaxed structure of Pr2GdAg (GGA-PBE, Alexandria).

```
data_Pr2GdAg
_chemical_formula_sum 'Pr2 Gd1 Ag1'
_space_group_name_H-M_alt 'P 1'
_space_group_IT_number 1
_cell_length_a 3.7325
_cell_length_b 3.7325
_cell_length_c 8.8693
_cell_angle_alpha 90.00
_cell_angle_beta 90.00
_cell_angle_gamma 90.00
loop_
_space_group_symop_operation_xyz
'x,y,z'
loop_
_atom_site_label
_atom_site_type_symbol
_atom_site_fract_x
_atom_site_fract_y
_atom_site_fract_z
_atom_site_occupancy
Ag1 Ag 0.5000 0.5000 0.0000 1
Gd1 Gd 0.5000 0.5000 0.5000 1
Pr1 Pr 0.0000 0.0000 0.7823 1
Pr2 Pr 0.0000 0.0000 0.2177 1
```

Results
Total magnetization: 7.96 Bohr magnetons per cell


B | # Pr2GdAg

A relaxed structure of Pr2GdAg (GGA-PBE, Alexandria).

```
data_Pr2GdAg
_chemical_formula_sum 'Pr2 Gd1 Ag1'
_space_group_name_H-M_alt 'P 1'
_space_group_IT_number 1
_cell_length_a 3.6675
_cell_length_b 3.6675
_cell_length_c 10.9936
_cell_angle_alpha 80.40
_cell_angle_beta 80.40
_cell_angle_gamma 60.00
loop_
_space_group_symop_operation_xyz
'x,y,z'
loop_
_atom_site_label
_atom_site_type_symbol
_atom_site_fract_x
_atom_site_fract_y
_atom_site_fract_z
_atom_site_occupancy
Ag1 Ag 0.0000 0.0000 0.0000 1
Pr1 Pr 0.7417 0.7417 0.7748 1
Pr2 Pr 0.2583 0.2583 0.2252 1
Gd1 Gd 0.5000 0.5000 0.5000 1
```

Results
Total magnetization: 7.20 Bohr magnetons per cell


Quick one: least stable of them? B


A | # PrGdAg

A relaxed structure of PrGdAg (GGA-PBE, Alexandria).

```
data_PrGdAg
_chemical_formula_sum 'Pr1 Gd1 Ag1'
_space_group_name_H-M_alt 'P 1'
_space_group_IT_number 1
_cell_length_a 3.7428
_cell_length_b 5.1334
_cell_length_c 5.1334
_cell_angle_alpha 120.00
_cell_angle_beta 90.00
_cell_angle_gamma 90.00
loop_
_space_group_symop_operation_xyz
'x,y,z'
loop_
_atom_site_label
_atom_site_type_symbol
_atom_site_fract_x
_atom_site_fract_y
_atom_site_fract_z
_atom_site_occupancy
Ag1 Ag 0.6369 0.6667 0.3333 1
Gd1 Gd 0.3997 0.3333 0.6667 1
Pr1 Pr 0.9634 0.0000 0.0000 1
```

Results
Total magnetization: 7.35 Bohr magnetons per cell


B | # PrGdAg

A relaxed structure of PrGdAg (GGA-PBE, Alexandria).

```
data_PrGdAg
_chemical_formula_sum 'Pr1 Gd1 Ag1'
_space_group_name_H-M_alt 'P 1'
_space_group_IT_number 1
_cell_length_a 3.7134
_cell_length_b 3.7134
_cell_length_c 6.8187
_cell_angle_alpha 105.80
_cell_angle_beta 105.80
_cell_angle_gamma 90.00
loop_
_space_group_symop_operation_xyz
'x,y,z'
loop_
_atom_site_label
_atom_site_type_symbol
_atom_site_fract_x
_atom_site_fract_y
_atom_site_fract_z
_atom_site_occupancy
Gd1 Gd 0.0206 0.0206 0.0411 1
Pr1 Pr 0.3190 0.3190 0.6380 1
Ag1 Ag 0.6604 0.6604 0.3209 1
```

Results
Total magnetization: 8.05 Bohr magnetons per cell


Quick one: least stable of them? A


A | # GdScAg

A relaxed structure of GdScAg (GGA-PBE, Alexandria).

```
data_GdScAg
_chemical_formula_sum 'Gd1 Sc1 Ag1'
_space_group_name_H-M_alt 'P 1'
_space_group_IT_number 1
_cell_length_a 3.5108
_cell_length_b 3.5108
_cell_length_c 6.4819
_cell_angle_alpha 105.71
_cell_angle_beta 105.71
_cell_angle_gamma 90.00
loop_
_space_group_symop_operation_xyz
'x,y,z'
loop_
_atom_site_label
_atom_site_type_symbol
_atom_site_fract_x
_atom_site_fract_y
_atom_site_fract_z
_atom_site_occupancy
Ag1 Ag 0.6811 0.6811 0.3621 1
Gd1 Gd 0.0080 0.0080 0.0160 1
Sc1 Sc 0.3109 0.3109 0.6219 1
```

Results
Total magnetization: 8.31 Bohr magnetons per cell


B | # GdScAg

A relaxed structure of GdScAg (GGA-PBE, Alexandria).

```
data_GdScAg
_chemical_formula_sum 'Gd1 Sc1 Ag1'
_space_group_name_H-M_alt 'P 1'
_space_group_IT_number 1
_cell_length_a 3.6412
_cell_length_b 4.8939
_cell_length_c 4.8939
_cell_angle_alpha 120.00
_cell_angle_beta 90.00
_cell_angle_gamma 90.00
loop_
_space_group_symop_operation_xyz
'x,y,z'
loop_
_atom_site_label
_atom_site_type_symbol
_atom_site_fract_x
_atom_site_fract_y
_atom_site_fract_z
_atom_site_occupancy
Gd1 Gd 0.6536 0.6667 0.3333 1
Sc1 Sc 0.1392 0.0000 0.0000 1
Ag1 Ag 0.2073 0.3333 0.6667 1
```

Results
Total magnetization: 7.18 Bohr magnetons per cell


Quick one: least stable of them? B


A | # SmGdAg

A relaxed structure of SmGdAg (GGA-PBE, Alexandria).

```
data_SmGdAg
_chemical_formula_sum 'Sm1 Gd1 Ag1'
_space_group_name_H-M_alt 'P 1'
_space_group_IT_number 1
_cell_length_a 3.6748
_cell_length_b 3.6748
_cell_length_c 6.7516
_cell_angle_alpha 105.79
_cell_angle_beta 105.79
_cell_angle_gamma 90.00
loop_
_space_group_symop_operation_xyz
'x,y,z'
loop_
_atom_site_label
_atom_site_type_symbol
_atom_site_fract_x
_atom_site_fract_y
_atom_site_fract_z
_atom_site_occupancy
Sm1 Sm 0.3168 0.3168 0.6336 1
Gd1 Gd 0.0179 0.0179 0.0358 1
Ag1 Ag 0.6653 0.6653 0.3305 1
```

Results
Total magnetization: 8.11 Bohr magnetons per cell


B | # SmGdAg

A relaxed structure of SmGdAg (GGA-PBE, Alexandria).

```
data_SmGdAg
_chemical_formula_sum 'Sm1 Gd1 Ag1'
_space_group_name_H-M_alt 'P 1'
_space_group_IT_number 1
_cell_length_a 3.6797
_cell_length_b 5.1039
_cell_length_c 5.1039
_cell_angle_alpha 120.00
_cell_angle_beta 90.00
_cell_angle_gamma 90.00
loop_
_space_group_symop_operation_xyz
'x,y,z'
loop_
_atom_site_label
_atom_site_type_symbol
_atom_site_fract_x
_atom_site_fract_y
_atom_site_fract_z
_atom_site_occupancy
Gd1 Gd 0.3888 0.3333 0.6667 1
Sm1 Sm 0.9503 0.0000 0.0000 1
Ag1 Ag 0.6609 0.6667 0.3333 1
```

Results
Total magnetization: 7.31 Bohr magnetons per cell


Quick one: least stable of them? B